VASP calculation (PBE) on a relaxed Sm3ZnAg crystal. Values from VASP.

```
&SYSTEM
  ibrav = 0, nat = 10, ntyp = 3
/
ATOMIC_SPECIES
Sm 150.36 Sm.upf
Zn 65.41 Zn.upf
Ag 107.87 Ag.upf
CELL_PARAMETERS angstrom
4.471 0.000 0.000
0.000 7.145 0.000
0.000 0.000 9.101
ATOMIC_POSITIONS angstrom
Sm 1.118 0.049 1.819
Sm 1.118 1.786 5.016
Sm 1.118 3.523 1.819
Sm 3.353 3.622 7.282
Sm 3.353 5.359 4.085
Sm 3.353 7.096 7.282
Zn 1.118 5.359 6.037
Zn 3.353 1.786 3.065
Ag 1.118 1.786 8.363
Ag 3.353 5.359 0.738
```

Properties
**E_form**: -0.4 eV/f.u.
**E_tot**: -37.3 eV/cell
**Relative energy among the computed polymorphs**: 148 meV per atom
**Theoretical density**: 7.1 g/cm3
**Spin magnetization**: 0.0 μB per cell